The following is a PBE calculation of crystalline YHgRu at its relaxed geometry, from Alexandria via LeMat-Bulk.

The structure in POSCAR format:
```
YHgRu
1.0
-1.634 -3.435 -2.682
2.432 -3.940 -0.474
-1.545 -3.936 1.944
Hg Y Ru
1 1 1
Cartesian
-0.374 -5.656 -0.606
0.000 0.000 0.000
-0.187 -2.828 -0.303
```

Electronic total energy (eV/atom): -5.2671
Space-group type: F-43m, No. 216
Energy above the lowest structure with this stoichiometry (kJ/mol of formula units): 81
Size of the total moment (μB per formula unit): 0.00